(1)
Material: NpBeSi2Ir
Method: DFT, PBE-GGA
State: optimized geometry

## Properties
- symmetry = I-4m2, No. 119
- formation energy from raw total energies (eV per atom) = -0.472

Geometry as CIF:
```
data_NpBeSi2Ir
_cell_length_a 5.821
_cell_length_b 5.821
_cell_length_c 5.821
_cell_angle_alpha 140.91
_cell_angle_beta 140.91
_cell_angle_gamma 56.48
_space_group_name_H-M_alt 'P 1'
_space_group_IT_number 1
_space_group_name_Hall 'P 1'
loop_
_atom_site_label
_atom_site_fract_x
_atom_site_fract_y
_atom_site_fract_z
Np1 0.000 0.000 0.000
Be1 0.250 0.750 0.500
Si1 0.384 0.384 0.000
Si2 0.616 0.616 0.000
Ir1 0.750 0.250 0.500
```


(2)
Material: LiLaDyCd
Method: DFT, PBE-GGA
State: optimized geometry

## Properties
- symmetry = F-43m, No. 216
- E_form (meV per atom) = -111

Geometry as CIF:
```
data_LiLaDyCd
_cell_length_a 5.404
_cell_length_b 5.404
_cell_length_c 5.404
_cell_angle_alpha 60.00
_cell_angle_beta 60.00
_cell_angle_gamma 60.00
_space_group_name_H-M_alt 'P 1'
_space_group_IT_number 1
_space_group_name_Hall 'P 1'
loop_
_atom_site_label
_atom_site_fract_x
_atom_site_fract_y
_atom_site_fract_z
Li1 0.000 0.000 0.000
La1 0.250 0.250 0.250
Dy1 0.750 0.750 0.750
Cd1 0.500 0.500 0.500
```


(3)
Material: LaBe2Rh2
Method: DFT, PBE-GGA
State: optimized geometry

## Properties
- symmetry = P4/mbm, No. 127
- energy above the lowest structure with this stoichiometry (meV/atom) = 206.4
- E_form (meV per atom) = -386

Geometry as CIF:
```
data_LaBe2Rh2
_cell_length_a 7.105
_cell_length_b 7.105
_cell_length_c 2.965
_cell_angle_alpha 90.00
_cell_angle_beta 90.00
_cell_angle_gamma 90.00
_space_group_name_H-M_alt 'P 1'
_space_group_IT_number 1
_space_group_name_Hall 'P 1'
loop_
_atom_site_label
_atom_site_fract_x
_atom_site_fract_y
_atom_site_fract_z
La1 0.000 0.000 0.000
La2 0.500 0.500 0.000
Be1 0.110 0.390 0.000
Be2 0.390 0.890 0.000
Be3 0.610 0.110 0.000
Be4 0.890 0.610 0.000
Rh1 0.154 0.654 0.500
Rh2 0.346 0.154 0.500
Rh3 0.654 0.846 0.500
Rh4 0.846 0.346 0.500
```


no.,theoretical density (g/cm3)
1,10.55
2,6.26
3,8.05